1.
Ba3Li2Cd3 GGA-PBE relaxed; ΔH_f (0 K) = -0.2203 eV/atom; final energy = -14.1 eV per formula unit
1.0
9.456 0.000 0.000
0.000 17.705 0.000
0.000 0.000 6.699
Ba Li Cd
12 8 12
Direct
0.044 0.105 0.129
0.044 0.395 0.129
0.189 0.250 0.606
0.311 0.750 0.106
0.456 0.605 0.629
0.456 0.895 0.629
0.544 0.105 0.371
0.544 0.395 0.371
0.689 0.250 0.894
0.811 0.750 0.394
0.956 0.605 0.871
0.956 0.895 0.871
0.111 0.595 0.383
0.111 0.905 0.383
0.389 0.095 0.883
0.389 0.405 0.883
0.611 0.595 0.117
0.611 0.905 0.117
0.889 0.095 0.617
0.889 0.405 0.617
0.166 0.750 0.597
0.180 0.041 0.610
0.180 0.459 0.610
0.320 0.541 0.110
0.320 0.959 0.110
0.334 0.250 0.097
0.666 0.750 0.903
0.680 0.041 0.890
0.680 0.459 0.890
0.820 0.541 0.390
0.820 0.959 0.390
0.834 0.250 0.403

***

2.
Th2Zn4AgAu3 GGA-PBE relaxed; ΔH_f (0 K) = -0.3799 eV/atom; final energy = -36.4 eV per formula unit
1.0
4.224 0.000 0.000
0.000 4.224 0.000
0.000 0.000 11.486
Th Zn Ag Au
2 4 1 3
Direct
0.000 0.500 0.248
0.500 0.000 0.752
0.000 0.000 0.000
0.000 0.500 0.635
0.500 0.000 0.365
0.500 0.500 0.000
0.000 0.000 0.500
0.000 0.500 0.858
0.500 0.000 0.142
0.500 0.500 0.500

***

3.
Ba2InGe GGA-PBE relaxed; ΔH_f (0 K) = -0.4861 eV/atom; final energy = -13.1 eV per formula unit
1.0
6.946 0.000 0.000
0.000 4.605 0.000
-3.150 0.000 9.527
Ba In Ge
4 2 2
Direct
0.197 0.250 0.422
0.280 0.750 0.061
0.720 0.250 0.939
0.803 0.750 0.578
0.354 0.750 0.719
0.646 0.250 0.281
0.152 0.250 0.784
0.848 0.750 0.216

***

4.
Ho5TmPt4 GGA-PBE relaxed; ΔH_f (0 K) = -1.0144 eV/atom; final energy = -61.7 eV per formula unit
1.0
9.320 -2.052 0.000
9.320 2.052 0.000
-3.105 0.000 6.961
Ho Tm Pt
5 1 4
Direct
0.000 0.000 0.000
0.336 0.336 0.095
0.336 0.336 0.577
0.664 0.664 0.423
0.664 0.664 0.905
0.000 0.000 0.500
0.209 0.209 0.709
0.500 0.500 0.249
0.500 0.500 0.751
0.791 0.791 0.291

***

5.
BePdW3 GGA-PBE relaxed; ΔH_f (0 K) = 0.7479 eV/atom; final energy = -44.0 eV per formula unit
1.0
4.220 0.000 0.000
0.000 4.220 0.000
0.000 0.000 4.220
Be Pd W
1 1 3
Direct
0.000 0.000 0.000
0.500 0.500 0.500
0.000 0.000 0.500
0.000 0.500 0.000
0.500 0.000 0.000

***

6.
Sc2ReAu GGA-PBE relaxed; ΔH_f (0 K) = -0.1443 eV/atom; final energy = -29.0 eV per formula unit
1.0
1.612 0.931 8.531
-1.612 0.931 8.531
0.000 -1.861 8.531
Sc Re Au
2 1 1
Direct
0.244 0.244 0.244
0.756 0.756 0.756
0.500 0.500 0.500
0.000 0.000 0.000

***

7.
MgAg2Pd7 GGA-PBE relaxed; ΔH_f (0 K) = 0.3317 eV/atom; final energy = -40.3 eV per formula unit
1.0
3.620 -7.056 0.000
3.620 7.056 0.000
0.000 0.000 4.049
Mg Ag Pd
1 2 7
Direct
0.000 0.000 0.000
0.303 0.697 0.500
0.697 0.303 0.500
0.089 0.282 0.500
0.182 0.818 0.000
0.282 0.089 0.500
0.500 0.500 0.500
0.718 0.911 0.500
0.818 0.182 0.000
0.911 0.718 0.500

***

8.
Bi2OsO6 GGA-PBE relaxed; raw formation energy = -1093.8 meV per atom; final energy = -58.6 eV per formula unit
1.0
5.156 0.000 0.000
0.000 5.156 0.000
0.000 0.000 10.224
Bi Os O
4 2 12
Direct
0.000 0.000 0.171
0.000 0.000 0.829
0.500 0.500 0.329
0.500 0.500 0.671
0.000 0.000 0.500
0.500 0.500 0.000
0.179 0.179 0.351
0.179 0.179 0.649
0.247 0.247 0.000
0.253 0.747 0.500
0.321 0.679 0.149
0.321 0.679 0.851
0.679 0.321 0.149
0.679 0.321 0.851
0.747 0.253 0.500
0.753 0.753 0.000
0.821 0.821 0.351
0.821 0.821 0.649

***

9.
La2Ti3ZnO10 GGA-PBE relaxed; raw formation energy = -2998.1 meV per atom; final energy = -132.4 eV per formula unit
1.0
-1.922 1.922 13.717
1.922 -1.922 13.717
1.922 1.922 -13.717
La Ti Zn O
2 3 1 10
Direct
0.080 0.080 0.000
0.920 0.920 0.000
0.344 0.344 0.000
0.500 0.500 0.000
0.656 0.656 0.000
0.750 0.250 0.500
0.139 0.639 0.500
0.278 0.278 0.000
0.361 0.861 0.500
0.429 0.429 0.000
0.501 0.001 0.500
0.571 0.571 0.000
0.642 0.142 0.500
0.722 0.722 0.000
0.858 0.358 0.500
0.999 0.499 0.500

***

10.
Si2SnSe6 GGA-PBE relaxed; raw formation energy = -351.4 meV per atom; final energy = -38.9 eV per formula unit
1.0
6.781 -6.916 0.000
6.781 6.916 0.000
-2.744 0.000 5.599
Si Sn Se
4 2 12
Direct
0.135 0.291 0.330
0.291 0.135 0.830
0.709 0.865 0.170
0.865 0.709 0.670
0.294 0.706 0.750
0.706 0.294 0.250
0.082 0.654 0.894
0.087 0.221 0.623
0.221 0.087 0.123
0.309 0.478 0.400
0.346 0.918 0.606
0.478 0.309 0.900
0.522 0.691 0.100
0.654 0.082 0.394
0.691 0.522 0.600
0.779 0.913 0.877
0.913 0.779 0.377
0.918 0.346 0.106

***

11.
Pm3TeI3 GGA-PBE relaxed; raw formation energy = -1203.4 meV per atom; final energy = -30.5 eV per formula unit
1.0
-6.300 6.300 6.300
6.300 -6.300 6.300
6.300 6.300 -6.300
Pm Te I
12 4 12
Direct
0.012 0.024 0.262
0.012 0.488 0.750
0.024 0.262 0.012
0.238 0.262 0.750
0.238 0.476 0.488
0.262 0.012 0.024
0.262 0.750 0.238
0.476 0.488 0.238
0.488 0.238 0.476
0.488 0.750 0.012
0.750 0.012 0.488
0.750 0.238 0.262
0.000 0.250 0.500
0.250 0.250 0.250
0.250 0.500 0.000
0.500 0.000 0.250
0.250 0.757 0.743
0.250 0.993 0.507
0.507 0.250 0.993
0.507 0.757 0.513
0.513 0.507 0.757
0.743 0.250 0.757
0.743 0.993 0.987
0.757 0.513 0.507
0.757 0.743 0.250
0.987 0.743 0.993
0.993 0.507 0.250
0.993 0.987 0.743

***

12.
Tb4InTe5 GGA-PBE relaxed; raw formation energy = -956.3 meV per atom; final energy = -46.5 eV per formula unit
1.0
9.262 0.000 0.000
0.000 9.844 0.000
0.000 0.000 7.786
Tb In Te
8 2 10
Direct
0.009 0.250 0.091
0.250 0.028 0.508
0.250 0.472 0.508
0.491 0.250 0.091
0.509 0.750 0.909
0.750 0.528 0.492
0.750 0.972 0.492
0.991 0.750 0.909
0.250 0.250 0.797
0.750 0.750 0.203
0.026 0.548 0.235
0.026 0.952 0.235
0.250 0.750 0.669
0.474 0.548 0.235
0.474 0.952 0.235
0.526 0.048 0.765
0.526 0.452 0.765
0.750 0.250 0.331
0.974 0.048 0.765
0.974 0.452 0.765

***

13.
Mg3AuF GGA-PBE relaxed; raw formation energy = -541.9 meV per atom; final energy = -12.6 eV per formula unit
1.0
5.100 0.000 0.000
0.000 5.100 0.000
0.000 0.000 5.100
Mg Au F
3 1 1
Direct
0.000 0.000 0.500
0.000 0.500 0.000
0.500 0.000 0.000
0.000 0.000 0.000
0.500 0.500 0.500

***

14.
HfTiCr2Mo GGA-PBE relaxed; ΔH_f (0 K) = 1.0821 eV/atom; final energy = -42.5 eV per formula unit
1.0
4.260 0.000 0.000
0.000 4.260 0.000
0.000 0.000 4.739
Hf Ti Cr Mo
1 1 2 1
Direct
0.000 0.000 0.000
0.500 0.500 0.500
0.000 0.500 0.500
0.500 0.000 0.500
0.500 0.500 0.000